VASP calculation (PBE) on a geometry-optimized PrGdTlRu structure.

Lattice parameters (Å, degrees): 7.372 7.372 7.372 90.00 90.00 90.00
Space group F-43m (No. 216)
Symmetry-distinct sites (fractional):
Pr 0.000 0.000 0.000 x4
Gd 0.000 0.000 0.500 x4
Tl 0.250 0.250 0.250 x4
Ru 0.250 0.250 0.750 x4

Calculated values
**E**: -7.79 eV/atom
**Energy relative to the elements**: -0.7 eV/f.u.

=====

VASP calculation (PBE) on a geometry-optimized GaBiIN2 structure.

Lattice parameters (Å, degrees): 4.287 4.287 5.463 90.00 90.00 90.00
Space group P4/mmm (No. 123)
Symmetry-distinct sites (fractional):
Ga 0.000 0.000 0.000 x1
Bi 0.500 0.500 0.500 x1
I 0.000 0.000 0.500 x1
N 0.000 0.500 0.000 x2

Calculated values
**E**: -3.61 eV/atom
**E above lowest polymorph**: 0.101 eV/atom
**E_form (uncorrected)**: 1.41 eV per atom

=====

VASP calculation (PBE) on a geometry-optimized LiCe2ZnSe5 structure.

Lattice parameters (Å, degrees): 4.069 17.233 11.833 90.00 90.00 90.00
Space group Cmc2_1 (No. 36)
Symmetry-distinct sites (fractional):
Li 0.000 0.204 0.000 x4
Ce 0.000 0.118 0.676 x4
Ce 0.000 0.133 0.294 x4
Zn 0.000 0.435 0.453 x4
Se 0.000 0.044 0.061 x4
Se 0.000 0.292 0.656 x4
Se 0.000 0.311 0.337 x4
Se 0.000 0.356 0.991 x4
Se 0.000 0.498 0.770 x4

Calculated values
**E**: -5.01 eV/atom
**E_form (uncorrected)**: -1.40 eV per atom

=====

VASP calculation (PBE) on a geometry-optimized CaDy2In structure.

Lattice parameters (Å, degrees): 4.936 4.936 4.824 90.00 90.00 90.00
Space group P4/mmm (No. 123)
Symmetry-distinct sites (fractional):
Ca 0.000 0.000 0.000 x1
Dy 0.000 0.500 0.500 x2
In 0.500 0.500 0.000 x1

Calculated values
**E**: -3.69 eV/atom
**E above lowest polymorph**: 0.000 eV/atom
**Energy relative to the elements**: -0.8 eV/f.u.